Na2B3C | PBE-GGA | optimized geometry

Output
Electronic total energy   -5.16 eV/atom
Space group   No. 38
Energy of formation from the pure elements   152.0 meV/atom
E above lowest polymorph   0.019 eV/atom

a = 8.5930 Å, b = 13.0981 Å, c = 13.0981 Å
α = 12.41°, β = 90.00°, γ = 90.00°
Positions (direct):
Na  0.2465  0.0000  0.0000
Na  0.2465  0.2016  0.2016
Na  0.2474  0.8019  0.8019
Na  0.2476  0.4007  0.4007
Na  0.2487  0.6002  0.6002
Na  0.7513  0.6002  0.6002
Na  0.7524  0.4007  0.4007
Na  0.7535  0.2016  0.2016
Na  0.7526  0.8019  0.8019
Na  0.7535  0.0000  0.0000
B  0.0000  0.1305  0.1305
B  0.0000  0.3344  0.3344
B  0.0000  0.4675  0.4675
B  0.0000  0.5369  0.5369
B  0.0000  0.6699  0.6699
B  0.0000  0.7402  0.7402
B  0.0000  0.9278  0.9278
B  0.5000  0.0666  0.0666
B  0.5000  0.1307  0.1307
B  0.5000  0.2782  0.2782
B  0.5000  0.4596  0.4596
B  0.5000  0.5266  0.5266
B  0.5000  0.6735  0.6735
B  0.5000  0.7371  0.7371
B  0.5000  0.8684  0.8684
C  0.0000  0.0681  0.0681
C  0.0000  0.2710  0.2710
C  0.0000  0.8656  0.8656
C  0.5000  0.3376  0.3376
C  0.5000  0.9298  0.9298

***

Na4B5C3 | PBE-GGA | optimized geometry

Output
Electronic total energy   -5.47 eV/atom
Space group   No. 51
Energy of formation from the pure elements   60.8 meV/atom
E above lowest polymorph   0.000 eV/atom

a = 8.5395 Å, b = 2.8100 Å, c = 10.1140 Å
α = 90.00°, β = 90.00°, γ = 90.00°
Positions (direct):
Na  0.0000  0.0000  0.0000
Na  0.0000  0.0000  0.5000
Na  0.0021  0.5000  0.2474
Na  0.4979  0.5000  0.2474
Na  0.5000  0.0000  0.0000
Na  0.5000  0.0000  0.5000
Na  0.5021  0.5000  0.7526
Na  0.9979  0.5000  0.7526
B  0.2500  0.0000  0.1535
B  0.2500  0.0000  0.3259
B  0.2500  0.0000  0.6733
B  0.2500  0.5000  0.4373
B  0.2500  0.5000  0.9124
B  0.7500  0.0000  0.3267
B  0.7500  0.0000  0.6741
B  0.7500  0.0000  0.8465
B  0.7500  0.5000  0.0876
B  0.7500  0.5000  0.5627
C  0.2500  0.0000  0.8325
C  0.2500  0.5000  0.0732
C  0.2500  0.5000  0.5917
C  0.7500  0.0000  0.1675
C  0.7500  0.5000  0.4083
C  0.7500  0.5000  0.9268